DFT (PBE-GGA) results for an optimized crystal structure of PmAg3Pd.

Results
* E above lowest polymorph: 371.9 meV/atom

abc: 9.987 9.987 9.987
angles: 149.32 149.32 43.95
Fractional positions:
Pm: 0.188 0.188 0.000
Pm: 0.812 0.812 0.000
Ag: 0.375 0.623 0.752
Ag: 0.377 0.129 0.752
Ag: 0.377 0.625 0.248
Ag: 0.568 0.068 0.500
Ag: 0.871 0.623 0.248
Ag: 0.932 0.432 0.500
Pd: 0.250 0.750 0.500
Pd: 0.500 0.500 0.000

***

DFT (PBE-GGA) results for an optimized crystal structure of Pm2Ag6Pd.

abc: 7.234 7.234 7.194
angles: 111.78 111.78 32.73
Fractional positions:
Pm: 0.059 0.059 0.312
Pm: 0.941 0.941 0.688
Ag: 0.171 0.171 0.998
Ag: 0.269 0.269 0.684
Ag: 0.387 0.387 0.323
Ag: 0.613 0.613 0.677
Ag: 0.731 0.731 0.316
Ag: 0.829 0.829 0.002
Pd: 0.500 0.500 0.000

***

DFT (PBE-GGA) results for an optimized crystal structure of Pm4AgPd2.

Results
* E above lowest polymorph: 14.8 meV/atom

abc: 8.852 8.852 8.852
angles: 33.47 33.47 33.47
Fractional positions:
Pm: 0.122 0.122 0.122
Pm: 0.373 0.373 0.373
Pm: 0.627 0.627 0.627
Pm: 0.878 0.878 0.878
Ag: 0.500 0.500 0.500
Pd: 0.252 0.252 0.252
Pd: 0.748 0.748 0.748

***

DFT (PBE-GGA) results for an optimized crystal structure of PmAg2Pd4.

abc: 5.567 5.567 5.428
angles: 118.93 118.93 76.08
Fractional positions:
Pm: 0.000 0.000 0.000
Ag: 0.500 0.500 0.249
Ag: 0.500 0.500 0.751
Pd: 0.000 0.397 0.698
Pd: 0.000 0.603 0.302
Pd: 0.397 0.000 0.698
Pd: 0.603 0.000 0.302

***

DFT (PBE-GGA) results for an optimized crystal structure of Pm4Ag3Pd.

Results
* E above lowest polymorph: 5.6 meV/atom

abc: 3.697 5.241 10.448
angles: 90.00 90.00 90.00
Fractional positions:
Pm: 0.000 0.000 0.000
Pm: 0.000 0.000 0.500
Pm: 0.000 0.500 0.237
Pm: 0.000 0.500 0.763
Ag: 0.500 0.000 0.254
Ag: 0.500 0.000 0.746
Ag: 0.500 0.500 0.500
Pd: 0.500 0.500 0.000

***

DFT (PBE-GGA) results for an optimized crystal structure of Pm5Ag2Pd2.

abc: 8.858 8.858 7.990
angles: 90.00 90.00 50.50
Fractional positions:
Pm: 0.000 0.000 0.000
Pm: 0.040 0.698 0.677
Pm: 0.198 0.540 0.177
Pm: 0.302 0.960 0.677
Pm: 0.460 0.802 0.177
Pm: 0.500 0.500 0.500
Pm: 0.540 0.198 0.823
Pm: 0.698 0.040 0.323
Pm: 0.802 0.460 0.823
Pm: 0.960 0.302 0.323
Ag: 0.212 0.212 0.000
Ag: 0.288 0.288 0.500
Ag: 0.712 0.712 0.500
Ag: 0.788 0.788 0.000
Pd: 0.127 0.873 0.371
Pd: 0.373 0.627 0.871
Pd: 0.627 0.373 0.129
Pd: 0.873 0.127 0.629

***

DFT (PBE-GGA) results for an optimized crystal structure of Pm4AgPd.

Results
* E above lowest polymorph: 0.0 meV/atom

abc: 9.851 9.851 9.851
angles: 60.00 60.00 60.00
Fractional positions:
Pm: 0.185 0.185 0.815
Pm: 0.185 0.815 0.185
Pm: 0.185 0.815 0.815
Pm: 0.393 0.393 0.393
Pm: 0.393 0.393 0.822
Pm: 0.393 0.822 0.393
Pm: 0.560 0.560 0.940
Pm: 0.560 0.940 0.560
Pm: 0.560 0.940 0.940
Pm: 0.815 0.185 0.185
Pm: 0.815 0.185 0.815
Pm: 0.815 0.815 0.185
Pm: 0.822 0.393 0.393
Pm: 0.940 0.560 0.560
Pm: 0.940 0.560 0.940
Pm: 0.940 0.940 0.560
Ag: 0.167 0.167 0.167
Ag: 0.167 0.167 0.500
Ag: 0.167 0.500 0.167
Ag: 0.500 0.167 0.167
Pd: 0.187 0.604 0.604
Pd: 0.604 0.187 0.604
Pd: 0.604 0.604 0.187
Pd: 0.604 0.604 0.604

***

DFT (PBE-GGA) results for an optimized crystal structure of Pm3Ag2Pd4.

Results
* E above lowest polymorph: 55.6 meV/atom

abc: 7.577 7.577 7.391
angles: 100.98 100.98 85.28
Fractional positions:
Pm: 0.095 0.905 0.750
Pm: 0.239 0.474 0.380
Pm: 0.474 0.239 0.880
Pm: 0.526 0.761 0.120
Pm: 0.761 0.526 0.620
Pm: 0.905 0.095 0.250
Ag: 0.016 0.687 0.060
Ag: 0.313 0.984 0.440
Ag: 0.687 0.016 0.560
Ag: 0.984 0.313 0.940
Pd: 0.091 0.255 0.603
Pd: 0.248 0.549 0.820
Pd: 0.255 0.091 0.103
Pd: 0.451 0.752 0.680
Pd: 0.549 0.248 0.320
Pd: 0.745 0.909 0.897
Pd: 0.752 0.451 0.180
Pd: 0.909 0.745 0.397

***

no.,ΔE_f (eV/f.u.),final energy (eV/atom)
1,0.23,-3.65
2,-2.09,-3.77
3,-3.14,-5.05
4,-2.74,-4.85
5,-3.13,-4.49
6,-3.94,-4.86
7,-2.23,-4.88
8,-4.84,-5.06